Entry from Alexandria: a relaxed MgBeV2F crystal (PBE with a Hubbard U).

Calculated values
energy	-4.21	eV per atom
symmetry	P4/mmm
total magnetic moment	1.235	μB/atom

The structure in POSCAR format:
```
MgBeV2F
1.0
-1.737 2.307 -3.207
-1.742 -3.561 -1.618
-3.539 0.648 2.384
Be Mg F V
1 1 1 2
Cartesian
-3.509 -0.302 -1.221 Be
-0.871 -1.780 -0.809 Mg
0.000 0.000 0.000 F
-1.769 0.324 1.192 V
-0.869 1.154 -1.603 V
```